No. 1
Density functional theory data (PBE) for a geometry-optimized Ag2Au3F6 structure.

The structure in CIF format:
```
data_Ag2Au3F6
_chemical_formula_sum 'Ag8 Au12 F24'
_symmetry_space_group_name_H-M 'C 1 2/c 1'
_symmetry_Int_Tables_number 15
_symmetry_space_group_name_Hall '-C 2yc'
_cell_length_a 9.286
_cell_length_b 5.379
_cell_length_c 14.931
_cell_angle_alpha 90.00
_cell_angle_beta 102.10
_cell_angle_gamma 90.00
loop_
_atom_site_label
_atom_site_type_symbol
_atom_site_fract_x
_atom_site_fract_y
_atom_site_fract_z
Ag1 Ag 0.083 0.250 0.000
Au1 Au 0.000 0.082 0.250
Au2 Au 0.167 0.420 0.750
F1 F 0.045 0.081 0.389
F2 F 0.120 0.421 0.611
F3 F 0.213 0.418 0.889
```

As for the energy: -3.29 eV/atom. The total magnetic moment comes out at 0.00 μB per atom. For the density of states at the Fermi level, the calculation gives 3.47 states/eV/f.u. The calculation puts the energy relative to the elements, uncorrected at -0.859 eV/atom.

---

No. 2
Density functional theory data (PBE) for a geometry-optimized Ag2AuF structure.

The structure in CIF format:
```
data_Ag2AuF
_chemical_formula_sum 'Ag6 Au3 F3'
_symmetry_space_group_name_H-M 'R -3 m'
_symmetry_Int_Tables_number 166
_symmetry_space_group_name_Hall '-R 3 2"'
_cell_length_a 2.9058
_cell_length_b 2.9058
_cell_length_c 27.4434
_cell_angle_alpha 90.00
_cell_angle_beta 90.00
_cell_angle_gamma 120.00
loop_
_atom_site_label
_atom_site_type_symbol
_atom_site_fract_x
_atom_site_fract_y
_atom_site_fract_z
Ag1 Ag 0.0000 0.0000 0.0996
Au1 Au 0.0000 0.0000 0.0000
F1 F 0.0000 0.0000 0.5000
```

As for the energy: -3.13 eV/atom. The total magnetic moment comes out at 0.00 μB per atom. For the density of states at the Fermi level, the calculation gives 0.46 states/eV/f.u. The calculation puts the energy relative to the elements, uncorrected at -0.421 eV/atom. The energy above the most stable polymorph in this dataset is 10.86 kJ/mol of atoms.

---

No. 3
Density functional theory data (PBE) for a geometry-optimized Ag7AuF12 structure.

The structure in CIF format:
```
data_Ag7AuF12
_chemical_formula_sum 'Ag14 Au2 F24'
_symmetry_space_group_name_H-M 'I m -3'
_symmetry_Int_Tables_number 204
_symmetry_space_group_name_Hall '-I 2 2 3'
_cell_length_a 8.583
_cell_length_b 8.583
_cell_length_c 8.583
_cell_angle_alpha 90.00
_cell_angle_beta 90.00
_cell_angle_gamma 90.00
loop_
_atom_site_label
_atom_site_type_symbol
_atom_site_fract_x
_atom_site_fract_y
_atom_site_fract_z
Ag1 Ag 0.000 0.000 0.500
Ag2 Ag 0.250 0.250 0.250
Au1 Au 0.000 0.000 0.000
F1 F 0.000 0.306 0.174
```

As for the energy: -3.27 eV/atom. The total magnetic moment comes out at 0.16 μB per atom. For the density of states at the Fermi level, the calculation gives 15.02 states/eV/f.u. The calculation puts the energy relative to the elements, uncorrected at -0.989 eV/atom.